No. 1
The following is a PBE-GGA calculation of crystalline Mg2Np3TaN6 at its relaxed geometry, from the Alexandria database.

Output
Its total energy is -9.658 eV per atom. The formation energy (no corrections) is -1.01 eV/atom.

Unit cell a=5.7090 b=5.7090 c=5.6688 alpha=99.62 beta=99.62 gamma=120.05
Closest atoms and distances in Å follow each position.
Atoms (fractional coordinates):
1 N 0.7595 0.7595 0.2360  1 Ta 2.21, 2 Mg 2.32, 3 Np 2.36-2.43
2 N 0.3986 0.0784 0.2307  1 Ta 2.21, 2 Mg 2.29-2.31, 3 Np 2.35-2.42
3 N 0.2405 0.2405 0.7640  1 Ta 2.21, 2 Mg 2.32, 3 Np 2.36-2.43
4 N 0.0784 0.3986 0.2307  1 Ta 2.21, 2 Mg 2.29-2.31, 3 Np 2.35-2.42
5 N 0.6014 0.9216 0.7693  1 Ta 2.21, 2 Mg 2.29-2.31, 3 Np 2.35-2.42
6 N 0.9216 0.6014 0.7693  1 Ta 2.21, 2 Mg 2.29-2.31, 3 Np 2.35-2.42
7 Np 0.1701 0.8299 0.5000  6 N 2.36-2.42
8 Np 0.8299 0.1701 0.5000  6 N 2.36-2.42
9 Np 0.5000 0.5000 0.5000  6 N 2.35-2.43
10 Mg 0.6664 0.3336 0.0000  6 N 2.29-2.32
11 Mg 0.3336 0.6664 0.0000  6 N 2.29-2.32
12 Ta 0.0000 0.0000 0.0000  6 N 2.21

***

No. 2
The following is a PBE-GGA calculation of crystalline LiTmThRu at its relaxed geometry, from the Alexandria database.

Output
Its total energy is -6.023 eV per atom.

Unit cell a=4.9774 b=4.9774 c=4.9774 alpha=60.00 beta=60.00 gamma=60.00
Closest atoms and distances in Å follow each position.
Atoms (fractional coordinates):
1 Ru 0.7500 0.7500 0.7500  4 Th 3.05, 4 Tm 3.05
2 Li 0.2500 0.2500 0.2500  4 Tm 3.05, 4 Th 3.05
3 Th 0.5000 0.5000 0.5000  4 Li 3.05, 4 Ru 3.05
4 Tm 0.0000 0.0000 0.0000  4 Ru 3.05, 4 Li 3.05

***

No. 3
The following is a PBE-GGA calculation of crystalline Tl3CuNi2Cl9 at its relaxed geometry, from the Alexandria database.

Output
Its total energy is -3.316 eV per atom. The formation energy (no corrections) is -0.69 eV/atom.

Unit cell a=6.8396 b=6.8396 c=8.3858 alpha=90.00 beta=90.00 gamma=120.00
Closest atoms and distances in Å follow each position.
Atoms (fractional coordinates):
1 Ni 0.6667 0.3333 0.8311  6 Cl 2.36-2.43
2 Ni 0.3333 0.6667 0.1689  6 Cl 2.36-2.43
3 Cl 0.6603 0.8301 0.3294  1 Ni 2.36, 1 Cu 2.47
4 Cl 0.8301 0.6603 0.6706  1 Ni 2.36, 1 Cu 2.47
5 Cl 0.5000 0.0000 0.0000  2 Ni 2.43
6 Cl 0.8301 0.1699 0.6706  1 Ni 2.36, 1 Cu 2.47
7 Cl 0.5000 0.5000 0.0000  2 Ni 2.43
8 Cl 0.1699 0.8301 0.3294  1 Ni 2.36, 1 Cu 2.47
9 Cl 0.0000 0.5000 0.0000  2 Ni 2.43
10 Cl 0.1699 0.3397 0.3294  1 Ni 2.36, 1 Cu 2.47
11 Cl 0.3397 0.1699 0.6706  1 Ni 2.36, 1 Cu 2.47
12 Cu 0.0000 0.0000 0.5000  6 Cl 2.47
13 Tl 0.3333 0.6667 0.6681  12 Cl 3.41-3.44
14 Tl 0.0000 0.0000 0.0000  12 Cl 3.42
15 Tl 0.6667 0.3333 0.3319  12 Cl 3.41-3.44

***

No. 4
The following is a PBE-GGA calculation of crystalline PaGaPt2 at its relaxed geometry, from the Alexandria database.

Output
Its total energy is -7.035 eV per atom.

Unit cell a=5.8532 b=6.9661 c=7.4339 alpha=90.00 beta=90.00 gamma=90.00
Closest atoms and distances in Å follow each position.
Atoms (fractional coordinates):
1 Ga 0.1624 0.7500 0.1016  6 Pt 2.58-2.69
2 Ga 0.3376 0.7500 0.6016  6 Pt 2.58-2.69
3 Ga 0.8376 0.2500 0.8984  6 Pt 2.58-2.69
4 Ga 0.6624 0.2500 0.3984  6 Pt 2.58-2.69
5 Pt 0.5703 0.4534 0.6980  3 Ga 2.58-2.69, 1 Pt 2.83
6 Pt 0.0703 0.9534 0.8020  3 Ga 2.58-2.69, 1 Pt 2.83
7 Pt 0.0703 0.5466 0.8020  3 Ga 2.58-2.69, 1 Pt 2.83
8 Pt 0.4297 0.5466 0.3020  3 Ga 2.58-2.69, 1 Pt 2.83
9 Pt 0.4297 0.9534 0.3020  3 Ga 2.58-2.69, 1 Pt 2.83
10 Pt 0.9297 0.4534 0.1980  3 Ga 2.58-2.69, 1 Pt 2.83
11 Pt 0.5703 0.0466 0.6980  3 Ga 2.58-2.69, 1 Pt 2.83
12 Pt 0.9297 0.0466 0.1980  3 Ga 2.58-2.69, 1 Pt 2.83
13 Pa 0.8380 0.7500 0.4653  8 Pt 2.92-3.18, 2 Ga 3.09-3.10
14 Pa 0.1620 0.2500 0.5347  8 Pt 2.92-3.18, 2 Ga 3.09-3.10
15 Pa 0.3380 0.2500 0.0347  8 Pt 2.92-3.18, 2 Ga 3.09-3.10
16 Pa 0.6620 0.7500 0.9653  8 Pt 2.92-3.18, 2 Ga 3.09-3.10

***

No. 5
The following is a PBE-GGA calculation of crystalline SrCrW at its relaxed geometry, from the Alexandria database.

Output
Its total energy is -6.527 eV per atom. The value obtained for the energy above the most stable polymorph in this dataset is 749.3 meV per atom.

Unit cell a=4.6422 b=4.6422 c=4.6422 alpha=60.00 beta=60.00 gamma=60.00
Closest atoms and distances in Å follow each position.
Atoms (fractional coordinates):
1 Sr 0.0000 0.0000 0.0000  4 Cr 2.84
2 W 0.5000 0.5000 0.5000  4 Cr 2.84
3 Cr 0.2500 0.2500 0.2500  4 Sr 2.84, 4 W 2.84

***

No. 6
The following is a PBE-GGA calculation of crystalline Li6InPt2 at its relaxed geometry, from the Alexandria database.

Output
Its total energy is -3.253 eV per atom. The value obtained for the energy above the most stable polymorph in this dataset is 66.6 meV per atom.

Unit cell a=4.6115 b=5.0012 c=7.8453 alpha=108.59 beta=118.03 gamma=90.00
Closest atoms and distances in Å follow each position.
Atoms (fractional coordinates):
1 Li 0.6821 0.8639 0.2397  2 Li 2.44-2.56, 2 Pt 2.57-2.66
2 Li 0.3179 0.6242 0.7603  2 Li 2.44-2.56, 2 Pt 2.57-2.66
3 Li 0.3179 0.1361 0.7603  2 Li 2.44-2.56, 2 Pt 2.57-2.66
4 Li 0.6821 0.3758 0.2397  2 Li 2.44-2.56, 2 Pt 2.57-2.66
5 Li 0.6567 0.7872 0.5744  1 Pt 2.55, 1 In 2.75, 6 Li 2.83-2.85
6 Li 0.3433 0.2128 0.4256  1 Pt 2.55, 1 In 2.75, 6 Li 2.83-2.85
7 Pt 0.1497 0.6058 0.2117  5 Li 2.55-2.66, 1 Pt 2.74, 2 In 2.85
8 Pt 0.8503 0.3942 0.7883  5 Li 2.55-2.66, 1 Pt 2.74, 2 In 2.85
9 In 0.0000 0.0000 0.0000  6 Li 2.75-3.02, 4 Pt 2.85